{
  "formula": "Ca2Al3O8",
  "functional": "GGA-PBE",
  "state": "optimized geometry",
  "total_energy_ev_per_atom": -6.752,
  "raw_formation_energy_ev_per_fu": -32.9,
  "m_tot_mub_per_cell": 6.20,
  "cell": [[-3.400, -4.444, 5.496], [-4.492, 6.265, -1.444], [0.852, -4.178, -6.582]],
  "species": ["Ca", "Ca", "Ca", "Ca", "Al", "Al", "Al", "Al", "Al", "Al", "O", "O", "O", "O", "O", "O", "O", "O", "O", "O", "O", "O", "O", "O", "O", "O"],
  "frac_coords": [[0.344, 0.344, 0.344], [0.000, 0.000, 0.656], [0.656, 0.000, 0.000], [0.000, 0.656, 0.000], [0.750, 0.500, 0.250], [0.250, 0.500, 0.750], [0.500, 0.250, 0.750], [0.500, 0.750, 0.250], [0.250, 0.750, 0.500], [0.750, 0.250, 0.500], [0.565, 0.565, 0.288], [0.277, 0.277, 0.712], [0.435, 0.723, 0.000], [0.565, 0.288, 0.565], [0.723, 0.435, 0.000], [0.277, 0.712, 0.277], [0.723, 0.000, 0.435], [0.435, 0.000, 0.723], [0.288, 0.565, 0.565], [0.000, 0.435, 0.723], [0.000, 0.723, 0.435], [0.712, 0.277, 0.277], [0.832, 0.832, 0.832], [0.000, 0.000, 0.168], [0.168, 0.000, 0.000], [0.000, 0.168, 0.000]]
}